This record from OQMD describes an optimized crystal structure of ZrBeInNi. The functional is PBE.

Structure (extended XYZ):
```
4
Lattice="0.0000 3.1294 3.1294 3.1294 0.0000 3.1294 3.1294 3.1294 0.0000" Properties=species:S:1:pos:R:3 pbc="T T T"
Zr 0.0000 0.0000 0.0000
Be 1.5647 1.5647 1.5647
In 3.1294 3.1294 3.1294
Ni 4.6941 4.6941 4.6941
```

Computed properties:
* crystal system: cubic
* final energy: -5.364 eV/atom
* calculated density: 7.4 g/cm³